No. 1
Compound: Ce4TmP5
Source: Alexandria
Functional: GGA-PBE
Structure: relaxed

abc: 5.748 7.036 7.036
angles: 80.39 65.89 65.89
Last column: magnetic moment on the atom in μB.
Fractional coordinates of all 10 atoms:
P  0.297  0.803  0.605  -0.02
P  0.705  0.197  0.395  -0.02
P  0.902  0.395  0.803  -0.02
P  0.100  0.605  0.197  -0.02
P  0.501  0.000  0.000  -0.02
Ce  0.600  0.601  0.201  0.52
Ce  0.402  0.399  0.799  0.52
Ce  0.801  0.799  0.601  0.52
Ce  0.201  0.201  0.399  0.52
Tm  0.001  0.000  0.000  0.01

Properties
* formation energy from the elements: -1.511 eV per atom
* uncorrected energy: -70.37 eV for the cell shown



No. 2
Compound: Nd5TeS4
Source: Alexandria
Functional: GGA-PBE
Structure: relaxed

abc: 4.131 7.233 9.297
angles: 75.32 77.16 73.41
Fractional coordinates of all 10 atoms:
Nd  0.000  0.500  0.500
Nd  0.210  0.898  0.682
Nd  0.790  0.102  0.318
Nd  0.614  0.660  0.113
Nd  0.386  0.340  0.887
S  0.407  0.793  0.394
S  0.206  0.381  0.207
S  0.794  0.619  0.793
S  0.593  0.207  0.606
Te  0.000  0.000  0.000

Properties
* raw formation energy: -18.8 eV per formula unit
* uncorrected energy: -62.25 eV for the cell shown



No. 3
Compound: Pm2Y3Zn2
Source: Alexandria
Functional: GGA-PBE
Structure: relaxed

abc: 4.745 6.308 8.130
angles: 115.10 90.00 112.09
Fractional coordinates of all 7 atoms:
Y  0.500  0.000  0.000
Y  0.634  0.268  0.466
Y  0.366  0.732  0.534
Zn  0.858  0.715  0.809
Zn  0.142  0.285  0.191
Pm  0.861  0.722  0.202
Pm  0.139  0.278  0.798

Properties
* formation energy from the elements: -0.088 eV per atom
* uncorrected energy: -32.06 eV for the cell shown



No. 4
Compound: Na2SnTeSe4
Source: Alexandria
Functional: GGA-PBE
Structure: relaxed

abc: 4.834 7.312 8.037
angles: 111.83 103.49 98.27
Fractional coordinates of all 8 atoms:
Se  0.819  0.394  0.228
Se  0.025  0.146  0.773
Se  0.651  0.588  0.747
Se  0.436  0.850  0.206
Na  0.512  0.985  0.898
Na  0.223  0.201  0.470
Te  0.703  0.713  0.463
Sn  0.018  0.510  0.989

Properties
* raw formation energy: -4.1 eV per formula unit
* uncorrected energy: -27.78 eV for the cell shown



No. 5
Compound: SrZrGe2P
Source: Alexandria
Functional: GGA-PBE
Structure: relaxed

abc: 5.120 4.901 5.120
angles: 90.00 90.00 90.00
Last column: magnetic moment on the atom in μB.
Fractional coordinates of all 5 atoms:
P  0.000  0.000  0.000  0.00
Ge  0.500  0.000  0.000  -0.03
Ge  0.000  0.000  0.500  0.00
Zr  0.000  0.500  0.000  0.50
Sr  0.500  0.500  0.500  0.06

Properties
* formation energy from the elements: 0.072 eV per atom
* uncorrected energy: -24.51 eV for the cell shown



No. 6
Compound: SrHoBeN2
Source: Alexandria
Functional: GGA-PBE
Structure: relaxed

abc: 5.152 5.368 6.672
angles: 90.01 90.00 90.00
Fractional coordinates of all 10 atoms:
Sr  0.000  0.500  0.750
Sr  0.000  0.500  0.250
Be  0.000  0.000  0.000
Be  0.000  0.000  0.500
N  0.760  0.827  0.000
N  0.240  0.173  0.000
N  0.240  0.827  0.500
N  0.760  0.173  0.500
Ho  0.500  0.000  0.250
Ho  0.500  0.000  0.750

Properties
* raw formation energy: -4.3 eV per formula unit
* uncorrected energy: -61.83 eV for the cell shown



No. 7
Compound: UZnOs2
Source: Alexandria
Functional: GGA-PBE
Structure: relaxed

abc: 3.661 4.236 4.236
angles: 90.00 90.00 90.00
Fractional coordinates of all 4 atoms:
Zn  0.500  0.000  0.000
Os  0.000  0.000  0.500
Os  0.000  0.500  0.000
U  0.500  0.500  0.500

Properties
* formation energy from the elements: -0.096 eV per atom
* uncorrected energy: -35.40 eV for the cell shown



No. 8
Compound: MoPd3Au2
Source: Alexandria
Functional: GGA-PBE
Structure: relaxed

abc: 2.828 2.828 12.168
angles: 90.00 90.00 90.00
Fractional coordinates of all 6 atoms:
Mo  0.500  0.500  0.500
Au  0.500  0.500  0.170
Au  0.500  0.500  0.830
Pd  0.000  0.000  0.655
Pd  0.000  0.000  0.345
Pd  0.000  0.000  0.000

Properties
* formation energy from the elements: -0.082 eV per atom
* uncorrected energy: -33.45 eV for the cell shown



No. 9
Compound: TaMoS4
Source: Alexandria
Functional: GGA-PBE
Structure: relaxed

abc: 5.555 5.794 6.952
angles: 90.00 90.00 90.00
Fractional coordinates of all 12 atoms:
S  0.736  0.667  0.871
S  0.274  0.824  0.124
S  0.264  0.333  0.871
S  0.774  0.176  0.624
S  0.226  0.824  0.624
S  0.236  0.333  0.371
S  0.726  0.176  0.124
S  0.764  0.667  0.371
Mo  0.000  0.500  0.098
Mo  0.500  0.500  0.598
Ta  0.000  0.000  0.911
Ta  0.500  0.000  0.411

Properties
* excess energy over the best structure of this formula in the dataset: 0.2266 eV per atom
* raw formation energy: -4.4 eV per formula unit
* uncorrected energy: -87.10 eV for the cell shown



No. 10
Compound: Rb2TlSe2
Source: Alexandria
Functional: GGA-PBE
Structure: relaxed

abc: 8.513 8.513 4.971
angles: 90.00 90.00 90.00
Fractional coordinates of all 10 atoms:
Se  0.322  0.822  0.000
Se  0.822  0.678  0.000
Se  0.178  0.322  0.000
Se  0.678  0.178  0.000
Rb  0.863  0.363  0.500
Rb  0.363  0.137  0.500
Rb  0.637  0.863  0.500
Rb  0.137  0.637  0.500
Tl  0.000  0.000  0.000
Tl  0.500  0.500  0.000

Properties
* excess energy over the best structure of this formula in the dataset: 0.1742 eV per atom
* raw formation energy: -3.3 eV per formula unit
* uncorrected energy: -29.10 eV for the cell shown



No. 11
Compound: CdFe3
Source: Alexandria
Functional: GGA-PBE
Structure: relaxed

abc: 4.268 4.943 5.335
angles: 90.00 90.00 90.00
Last column: magnetic moment on the atom in μB.
Fractional coordinates of all 8 atoms:
Fe  0.000  0.861  0.761  2.55
Fe  0.000  0.269  0.500  2.43
Fe  0.500  0.139  0.739  2.55
Fe  0.500  0.139  0.261  2.55
Fe  0.500  0.731  0.000  2.43
Fe  0.000  0.861  0.239  2.55
Cd  0.500  0.632  0.500  -0.07
Cd  0.000  0.368  0.000  -0.07

Properties
* formation energy from the elements: 0.281 eV per atom
* uncorrected energy: -50.36 eV for the cell shown



No. 12
Compound: Nd10Ho4Er
Source: Alexandria
Functional: GGA-PBE
Structure: relaxed

abc: 7.803 9.562 9.562
angles: 80.42 65.92 65.92
Fractional coordinates of all 15 atoms:
Nd  0.750  0.500  0.500
Nd  0.349  0.700  0.101
Nd  0.250  0.500  0.500
Nd  0.150  0.300  0.899
Nd  0.951  0.899  0.700
Nd  0.651  0.300  0.899
Nd  0.850  0.700  0.101
Nd  0.550  0.101  0.300
Nd  0.049  0.101  0.300
Nd  0.450  0.899  0.700
Ho  0.400  0.801  0.400
Ho  0.799  0.600  0.801
Ho  0.600  0.199  0.600
Ho  0.201  0.400  0.199
Er  0.000  0.000  0.000

Properties
* formation energy from the elements: 0.687 eV per atom
* uncorrected energy: -60.25 eV for the cell shown



No. 13
Compound: Nb2AlInI
Source: Alexandria
Functional: GGA-PBE
Structure: relaxed

abc: 4.986 5.180 4.986
angles: 90.00 90.00 90.00
Last column: magnetic moment on the atom in μB.
Fractional coordinates of all 5 atoms:
Nb  0.500  0.000  0.000  0.53
Nb  0.000  0.000  0.500  0.33
I  0.000  0.500  0.000  0.01
In  0.500  0.500  0.500  0.00
Al  0.000  0.000  0.000  0.00

Properties
* raw formation energy: 6.6 eV per formula unit
* uncorrected energy: -21.60 eV for the cell shown



No. 14
Compound: TlCo2Pb
Source: Alexandria
Functional: GGA-PBE
Structure: relaxed

abc: 6.301 6.301 6.301
angles: 150.79 139.32 50.87
Last column: magnetic moment on the atom in μB.
Fractional coordinates of all 4 atoms:
Pb  0.532  0.532  0.000  -0.02
Co  0.929  0.929  0.000  1.65
Co  0.781  0.281  0.500  1.46
Tl  0.258  0.758  0.500  -0.03

Properties
* formation energy from the elements: 0.517 eV per atom
* uncorrected energy: -18.22 eV for the cell shown



No. 15
Compound: Nd8GaPd2
Source: Alexandria
Functional: GGA-PBE
Structure: relaxed

abc: 5.821 8.123 8.123
angles: 115.04 98.38 98.38
Fractional coordinates of all 11 atoms:
Nd  0.586  0.333  0.085
Nd  0.380  0.667  0.919
Nd  0.992  0.767  0.229
Nd  0.586  0.085  0.333
Nd  0.185  0.385  0.385
Nd  0.380  0.919  0.667
Nd  0.812  0.636  0.636
Nd  0.992  0.229  0.767
Pd  0.497  0.698  0.309
Pd  0.497  0.309  0.698
Ga  0.094  0.008  0.008

Properties
* excess energy over the best structure of this formula in the dataset: 0.1025 eV per atom
* formation energy from the elements: -0.264 eV per atom
* uncorrected energy: -54.46 eV for the cell shown



No. 16
Compound: CdTc2Ru
Source: Alexandria
Functional: GGA-PBE
Structure: relaxed

abc: 4.855 4.855 4.932
angles: 79.27 79.27 33.59
Fractional coordinates of all 4 atoms:
Tc  0.998  0.998  0.995
Tc  0.737  0.737  0.788
Ru  0.264  0.264  0.223
Cd  0.502  0.502  0.494

Properties
* formation energy from the elements: 0.352 eV per atom
* uncorrected energy: -29.51 eV for the cell shown



No. 17
Compound: LiCu2P
Source: Alexandria
Functional: GGA-PBE
Structure: relaxed

abc: 2.707 3.691 4.944
angles: 90.00 90.00 90.00
Fractional coordinates of all 4 atoms:
Li  0.000  0.000  0.502
Cu  0.000  0.000  0.994
Cu  0.500  0.500  0.250
P  0.500  0.500  0.755

Properties
* formation energy from the elements: -0.090 eV per atom
* uncorrected energy: -15.88 eV for the cell shown



No. 18
Compound: Ca2Zn12Ga5
Source: Alexandria
Functional: GGA-PBE
Structure: relaxed

abc: 6.930 6.930 6.930
angles: 84.88 84.88 84.88
Fractional coordinates of all 19 atoms:
Zn  0.684  0.316  0.000
Zn  0.349  0.349  0.827
Zn  0.684  0.000  0.316
Zn  0.000  0.684  0.316
Zn  0.827  0.349  0.349
Zn  0.000  0.316  0.684
Zn  0.173  0.651  0.651
Zn  0.651  0.651  0.173
Zn  0.349  0.827  0.349
Zn  0.316  0.000  0.684
Zn  0.651  0.173  0.651
Zn  0.316  0.684  0.000
Ca  0.665  0.665  0.665
Ca  0.335  0.335  0.335
Ga  0.500  0.000  0.000
Ga  0.000  0.000  0.500
Ga  0.000  0.500  0.000
Ga  0.099  0.099  0.099
Ga  0.901  0.901  0.901

Properties
* formation energy from the elements: -0.146 eV per atom
* uncorrected energy: -37.20 eV for the cell shown



No. 19
Compound: AlCdGe2
Source: Alexandria
Functional: GGA-PBE
Structure: relaxed

abc: 3.009 3.009 10.400
angles: 81.68 81.68 60.00
Fractional coordinates of all 4 atoms:
Ge  0.904  0.904  0.289
Ge  0.096  0.096  0.711
Al  0.500  0.500  0.500
Cd  0.000  0.000  0.000

Properties
* excess energy over the best structure of this formula in the dataset: 0.0000 eV per atom
* formation energy from the elements: 0.143 eV per atom
* uncorrected energy: -13.32 eV for the cell shown



No. 20
Compound: LaPm2Pr6Er
Source: Alexandria
Functional: GGA-PBE
Structure: relaxed

abc: 9.926 9.056 9.056
angles: 117.67 94.06 94.06
Fractional coordinates of all 20 atoms:
Pr  0.688  0.011  0.566
Pr  0.882  0.297  0.507
Pr  0.946  0.882  0.251
Pr  0.054  0.118  0.749
Pr  0.812  0.434  0.989
Pr  0.382  0.507  0.297
Pr  0.312  0.989  0.434
Pr  0.188  0.566  0.011
Pr  0.118  0.703  0.493
Pr  0.446  0.251  0.882
Pr  0.618  0.493  0.703
Pr  0.554  0.749  0.118
Pm  0.045  0.297  0.198
Pm  0.455  0.802  0.703
Pm  0.545  0.198  0.297
Pm  0.955  0.703  0.802
La  0.250  0.978  0.022
La  0.750  0.022  0.978
Er  0.750  0.591  0.409
Er  0.250  0.409  0.591

Properties
* formation energy from the elements: 0.108 eV per atom
* uncorrected energy: -93.17 eV for the cell shown